The following is a DFT calculation (PBE) of an optimized crystal structure of Rb4Ac3DySe8.

a b c (Å): 9.5892 9.5892 9.5892
angles (deg): 56.25 56.25 56.25
With the nearest neighbours (Å) after each atom.
Atoms (fractional coordinates):
Rb 0.0000 0.0000 0.0000  6 Se 3.64
Rb 0.0000 0.5000 0.5000  6 Se 3.50
Rb 0.5000 0.0000 0.5000  6 Se 3.50
Rb 0.5000 0.5000 0.0000  6 Se 3.50
Ac 0.0000 0.0000 0.5000  6 Se 3.11-3.13
Ac 0.0000 0.5000 0.0000  6 Se 3.11-3.13
Ac 0.5000 0.0000 0.0000  6 Se 3.11-3.13
Dy 0.5000 0.5000 0.5000  6 Se 2.96
Se 0.2369 0.2369 0.2369  3 Ac 3.11
Se 0.2509 0.7254 0.7254  1 Dy 2.96, 2 Ac 3.13
Se 0.2746 0.2746 0.7491  1 Dy 2.96, 2 Ac 3.13
Se 0.2746 0.7491 0.2746  1 Dy 2.96, 2 Ac 3.13
Se 0.7254 0.2509 0.7254  1 Dy 2.96, 2 Ac 3.13
Se 0.7254 0.7254 0.2509  1 Dy 2.96, 2 Ac 3.13
Se 0.7491 0.2746 0.2746  1 Dy 2.96, 2 Ac 3.13
Se 0.7631 0.7631 0.7631  3 Ac 3.11

Values from the calculation:
Space-group type: R-3m, No. 166
ΔE_f (raw), eV per atom: -1.775


The following is a DFT calculation (PBE) of an optimized crystal structure of Rb4AcDy3Te8.

a b c (Å): 10.0916 10.0916 10.0916
angles (deg): 54.49 54.49 54.49
With the nearest neighbours (Å) after each atom.
Atoms (fractional coordinates):
Rb 0.0000 0.0000 0.0000  6 Te 3.59
Rb 0.0000 0.5000 0.5000  6 Te 3.72-3.73
Rb 0.5000 0.0000 0.5000  6 Te 3.72-3.73
Rb 0.5000 0.5000 0.0000  6 Te 3.72-3.73
Ac 0.5000 0.5000 0.5000  6 Te 3.30
Dy 0.0000 0.0000 0.5000  6 Te 3.13-3.16
Dy 0.0000 0.5000 0.0000  6 Te 3.13-3.16
Dy 0.5000 0.0000 0.0000  6 Te 3.13-3.16
Te 0.2180 0.7428 0.7428  2 Dy 3.13, 1 Ac 3.30
Te 0.2322 0.2322 0.2322  3 Dy 3.16
Te 0.2572 0.2572 0.7820  2 Dy 3.13, 1 Ac 3.30
Te 0.2572 0.7820 0.2572  2 Dy 3.13, 1 Ac 3.30
Te 0.7428 0.2180 0.7428  2 Dy 3.13, 1 Ac 3.30
Te 0.7428 0.7428 0.2180  2 Dy 3.13, 1 Ac 3.30
Te 0.7678 0.7678 0.7678  3 Dy 3.16
Te 0.7820 0.2572 0.2572  2 Dy 3.13, 1 Ac 3.30

Values from the calculation:
Space-group type: R-3m, No. 166
ΔE_f (raw), eV per atom: -1.400


The following is a DFT calculation (PBE) of an optimized crystal structure of Rb2AcDyTe4.

a b c (Å): 8.1626 4.7032 8.9979
angles (deg): 90.00 107.49 90.00
With the nearest neighbours (Å) after each atom.
Atoms (fractional coordinates):
Rb 0.0000 0.0000 0.0000  6 Te 3.79
Rb 0.5000 0.5000 0.0000  6 Te 3.64
Ac 0.0000 0.5000 0.5000  6 Te 3.32-3.33
Dy 0.5000 0.0000 0.5000  6 Te 3.14-3.17
Te 0.2537 0.0000 0.7092  1 Dy 3.14, 2 Ac 3.32
Te 0.2822 0.5000 0.2989  2 Dy 3.17, 1 Ac 3.33
Te 0.7178 0.5000 0.7011  2 Dy 3.17, 1 Ac 3.33
Te 0.7463 0.0000 0.2908  1 Dy 3.14, 2 Ac 3.32

Values from the calculation:
Space-group type: P2/m, No. 10
ΔE_f (raw), eV per atom: -1.424